K2LaI5: single point on PBEsol structure, SCAN.

Computed properties:
ΔE_f (raw) ... -1.69 eV per atom
Electronic total energy ... -32.13 eV/atom

Lattice parameters (Å, degrees): 14.1697 9.7979 9.0305 90.00 90.00 90.00
Element x y z (fractional)
K  0.1731  0.0044  0.0599
K  0.1731  0.4956  0.0599
K  0.3269  0.5044  0.5599
K  0.3269  0.9956  0.5599
K  0.6731  0.0044  0.4401
K  0.6731  0.4956  0.4401
K  0.8269  0.5044  0.9401
K  0.8269  0.9956  0.9401
La  0.0068  0.2500  0.5825
La  0.4932  0.7500  0.0825
La  0.5068  0.2500  0.9175
La  0.9932  0.7500  0.4175
I  0.0049  0.2500  0.9399
I  0.0782  0.5480  0.6720
I  0.0782  0.9520  0.6720
I  0.1860  0.2500  0.3694
I  0.2124  0.7500  0.3353
I  0.2876  0.2500  0.8353
I  0.3140  0.7500  0.8694
I  0.4218  0.0480  0.1720
I  0.4218  0.4520  0.1720
I  0.4951  0.7500  0.4399
I  0.5049  0.2500  0.5601
I  0.5782  0.5480  0.8280
I  0.5782  0.9520  0.8280
I  0.6860  0.2500  0.1306
I  0.7124  0.7500  0.1647
I  0.7876  0.2500  0.6647
I  0.8140  0.7500  0.6306
I  0.9218  0.0480  0.3280
I  0.9218  0.4520  0.3280
I  0.9951  0.7500  0.0601